[1]
A plane-wave DFT calculation with GGA-PBE was carried out for crystalline YGe2Au3 at its relaxed geometry.

Structure (POSCAR):
```
YGe2Au3
1.0
8.4867 -2.2440 0.0000
8.4867 2.2440 0.0000
-2.4780 0.0000 9.6751
Y Ge Au
3 6 9
direct
0.0000 0.0000 0.0000
0.1831 0.1831 0.7123
0.8169 0.8169 0.2877
0.1855 0.1855 0.1087
0.3443 0.3443 0.5157
0.4687 0.4687 0.2129
0.5313 0.5313 0.7871
0.6557 0.6557 0.4843
0.8145 0.8145 0.8913
0.0009 0.0009 0.6698
0.1849 0.1849 0.3756
0.3256 0.3256 0.0624
0.3829 0.3829 0.8139
0.5000 0.5000 0.5000
0.6171 0.6171 0.1861
0.6744 0.6744 0.9376
0.8151 0.8151 0.6244
0.9991 0.9991 0.3302
```

Results
ρ ... 11154 kg/m3
Energy relative to the elements ... -38.6 kJ per mole of atoms
Symmetry ... C2/m (12)

***

[2]
A plane-wave DFT calculation with GGA-PBE was carried out for crystalline Y4Ge8Au at its relaxed geometry.

Structure (POSCAR):
```
Y4Ge8Au
1.0
3.9752 0.0000 0.0000
0.0000 4.0830 0.0000
0.0000 0.0000 17.1145
Y Ge Au
4 8 1
direct
0.0000 0.0000 0.0000
0.0000 0.5000 0.4724
0.5000 0.0000 0.7939
0.5000 0.5000 0.2739
0.0000 0.0000 0.3232
0.0000 0.0000 0.6117
0.0000 0.5000 0.1338
0.0000 0.5000 0.8626
0.5000 0.0000 0.1404
0.5000 0.0000 0.4198
0.5000 0.5000 0.6104
0.5000 0.5000 0.9564
0.0000 0.5000 0.7151
```

Results
ρ ... 6777 kg/m3
Energy relative to the elements ... -56.9 kJ per mole of atoms
Symmetry ... Pmm2 (25)

***

[3]
A plane-wave DFT calculation with GGA-PBE was carried out for crystalline YGeAu at its relaxed geometry.

Structure (POSCAR):
```
YGeAu
1.0
-2.2270 3.6568 3.8833
2.2270 -3.6568 3.8833
2.2270 3.6568 -3.8833
Y Ge Au
2 2 2
direct
0.0000 0.0000 0.0000
0.5557 0.0557 0.5000
0.4214 0.6872 0.7342
0.9530 0.6872 0.2658
0.1474 0.3566 0.7908
0.5658 0.3566 0.2092
```

Results
ρ ... 9412 kg/m3
Energy relative to the elements ... -74.0 kJ per mole of atoms
Symmetry ... Imm2 (44)

***

no.,size of the total moment (μB/f.u.)
1,0.000
2,0.000
3,0.000